VASP calculation (PBE) on a relaxed Fe2TeBr crystal.

Cell lengths 3.4109, 3.7308, 6.6153 Å; angles 90.00, 90.00, 90.00 degrees
Last column: nearest neighbours and their distance in Å.
Positions (direct):
Fe 0.0000 0.0000 0.1806  1 Fe 2.39
Fe 0.0000 0.0000 0.8194  1 Fe 2.39
Te 0.5000 0.5000 0.0000  8 Fe 2.80
Br 0.5000 0.0000 0.5000  4 Fe 2.72

Formation energy without anion corrections in eV/atom: 0.246
Total magnetic moment in Bohr magnetons per cell: 6.00
Density in g/cm³: 6.30
Electronic total energy in eV per atom: -5.189
Crystal system: orthorhombic